# 1
Entry from Alexandria: a crystal of KOsRu2 relaxed with PBEsol (SCAN).

Geometry as POSCAR:
```
KOsRu2
1.0
-0.780 1.884 1.816
-0.952 -0.769 2.441
8.746 0.644 5.143
K Os Ru
1 1 2
Cartesian
3.506 0.880 4.700
0.000 0.000 0.000
1.378 0.429 2.200
5.634 1.330 7.200
```

Values from the calculation:
Total energy = -146.86 eV per cell
Magnetization = 0.00 μB/cell
Calculated density = 11.05 Mg/m³
DOS at the Fermi energy = 3.0 states/eV/cell
Crystal system = trigonal


# 2
Entry from Alexandria: a crystal of KOs2Ru relaxed with PBEsol (SCAN).

Geometry as POSCAR:
```
KOs2Ru
1.0
-2.394 0.689 0.945
0.683 -2.851 3.807
2.996 5.008 0.181
K Os Ru
1 2 1
Cartesian
-1.197 0.344 0.473
0.071 0.620 3.484
1.213 2.226 1.450
0.341 -1.426 1.903
```

Values from the calculation:
Energy above the most stable polymorph in this dataset = 317 meV per atom
Magnetization = 0.78 μB/cell
Calculated density = 13.11 Mg/m³
DOS at the Fermi energy = 3.5 states/eV/cell
Crystal system = orthorhombic


# 3
Entry from Alexandria: a crystal of KOsS2 relaxed with PBEsol (SCAN).

Geometry as POSCAR:
```
KOsS2
1.0
6.221 0.036 0.060
-2.169 5.830 -0.060
-2.169 -2.834 5.096
K Os S
2 2 4
Cartesian
-2.169 1.498 2.518
0.941 -0.650 3.837
0.000 0.000 0.000
0.941 3.682 1.259
-1.164 3.959 0.599
4.131 -1.676 3.237
1.021 1.461 1.330
-0.223 2.320 5.025
```

Values from the calculation:
Energy relative to the elements, uncorrected = -54 kJ/mol of atoms
Magnetization = 0.00 μB/cell
Calculated density = 5.26 Mg/m³
DOS at the Fermi energy = 3.7 states/eV/cell
Crystal system = tetragonal


# 4
Entry from Alexandria: a crystal of KSbOs relaxed with PBEsol (SCAN).

Geometry as POSCAR:
```
KSbOs
1.0
-4.542 -0.298 0.834
-1.510 -0.997 4.259
-2.107 3.253 2.528
K Os Sb
1 1 1
Cartesian
-4.079 0.979 3.811
-2.039 0.489 1.905
0.000 0.000 0.000
```

Values from the calculation:
Energy relative to the elements, uncorrected = 94 kJ/mol of atoms
Magnetization = 0.00 μB/cell
Calculated density = 8.32 Mg/m³
DOS at the Fermi energy = 2.0 states/eV/cell
Crystal system = cubic


Q: calculated density of number 4 (KSbOs)?
A: 8.32 Mg/m³